# 1
First-principles (PBE) data for PaV2Si2 after structural relaxation, as listed in Alexandria via LeMat-Bulk.

Results
Magnetization in μB/atom: 0.000
Energy above the most stable polymorph in this dataset in meV per atom: 83

abc: 3.5396 4.5013 10.5645
angles: 95.34 90.00 90.00
Element x y z (fractional)
V1 0.2500 0.2550 0.5128
Si1 0.7500 0.2138 0.3474
Si2 0.2500 0.7862 0.6526
V2 0.2500 0.8400 0.8949
Pa1 0.2500 0.6914 0.2474
Pa2 0.7500 0.3086 0.7526
V3 0.7500 0.7450 0.4872
V4 0.7500 0.1600 0.1051
Si3 0.2500 0.3387 0.9742
Si4 0.7500 0.6613 0.0258

# 2
First-principles (PBE) data for PaVSi after structural relaxation, as listed in Alexandria via LeMat-Bulk.

Results
Magnetization in μB/atom: 0.000
Energy above the most stable polymorph in this dataset in meV per atom: 70

abc: 4.0222 4.0222 7.5240
angles: 105.50 105.50 90.00
Element x y z (fractional)
V1 0.0000 0.5000 0.0000
Pa1 0.6629 0.6629 0.3259
V2 0.5000 0.0000 0.0000
Pa2 0.3371 0.3371 0.6741
Si1 0.8823 0.8823 0.7645
Si2 0.1177 0.1177 0.2355

# 3
First-principles (PBE) data for Pa2V3Si4 after structural relaxation, as listed in Alexandria via LeMat-Bulk.

Results
Magnetization in μB/atom: 0.000

abc: 6.7665 6.8379 6.8414
angles: 90.00 90.00 109.72
Element x y z (fractional)
Si1 0.1319 0.4938 0.8650
V1 0.2482 0.7510 0.1614
Si2 0.6279 0.9066 0.0494
Pa1 0.0566 0.1850 0.1646
Pa2 0.5566 0.1850 0.3355
Si3 0.8721 0.0934 0.5494
Si4 0.6319 0.4938 0.6350
Si5 0.3681 0.5062 0.3650
V2 0.5000 0.5000 0.0000
V3 0.7518 0.2490 0.8386
Pa3 0.9434 0.8150 0.8354
V4 0.0000 0.5000 0.5000
V5 0.2518 0.2490 0.6614
Pa4 0.4434 0.8150 0.6646
V6 0.7482 0.7510 0.3386
Si6 0.8681 0.5062 0.1350
Si7 0.3721 0.0934 0.9506
Si8 0.1279 0.9066 0.4506

# 4
First-principles (PBE) data for Pa2VSi2 after structural relaxation, as listed in Alexandria via LeMat-Bulk.

Results
Magnetization in μB/atom: 0.000
Energy above the most stable polymorph in this dataset in meV per atom: 128

abc: 4.5002 5.8088 7.8964
angles: 90.00 106.56 90.00
Element x y z (fractional)
Pa1 0.0050 0.7361 0.0100
Si1 0.8252 0.9610 0.6504
Si2 0.4256 0.4981 0.8511
Si3 0.5744 0.9981 0.1489
V1 0.3941 0.9789 0.7882
Si4 0.1748 0.4610 0.3496
Pa2 0.8011 0.4602 0.6022
Pa3 0.9950 0.2361 0.9900
Pa4 0.1989 0.9602 0.3978
V2 0.6059 0.4789 0.2118

# 5
First-principles (PBE) data for PaVSi after structural relaxation, as listed in Alexandria via LeMat-Bulk.

Results
Magnetization in μB/atom: 0.000
Energy above the most stable polymorph in this dataset in meV per atom: 0

abc: 3.6452 7.8680 7.4623
angles: 90.00 90.00 90.00
Element x y z (fractional)
V1 0.2500 0.9353 0.6221
V2 0.7500 0.4353 0.8779
Pa1 0.7500 0.6448 0.4822
Pa2 0.2500 0.3552 0.5178
Pa3 0.2500 0.1448 0.0178
Si1 0.7500 0.3629 0.2113
Si2 0.7500 0.1371 0.7113
V3 0.7500 0.0647 0.3779
Pa4 0.7500 0.8552 0.9822
V4 0.2500 0.5647 0.1221
Si3 0.2500 0.6371 0.7887
Si4 0.2500 0.8629 0.2887

# 6
First-principles (PBE) data for Pa2VSi2 after structural relaxation, as listed in Alexandria via LeMat-Bulk.

Results
Magnetization in μB/atom: 0.140
Energy above the most stable polymorph in this dataset in meV per atom: 0

abc: 4.3565 6.6778 6.6778
angles: 90.00 90.00 90.00
Last column: magnetic moment on the atom in μB.
Element x y z (fractional)
V1 0.0000 0.5000 0.5000  0.75
Pa1 0.5000 0.6776 0.8224  -0.07
Si1 0.0000 0.3718 0.8718  -0.01
Pa2 0.5000 0.8224 0.3224  -0.07
Pa3 0.5000 0.1776 0.6776  -0.07
Pa4 0.5000 0.3224 0.1776  -0.07
Si2 0.0000 0.6282 0.1282  -0.01
Si3 0.0000 0.8718 0.6282  -0.01
V2 0.0000 0.0000 0.0000  0.75
Si4 0.0000 0.1282 0.3718  -0.01

Sequential ΔE_f (raw) output: -0.40, -0.36, -0.55, -0.31, -0.43, -0.44 eV/atom